1.
This record from Alexandria describes a geometry-optimized MgTl2SbF6 structure. The functional is PBE.

Properties
The raw formation energy comes out at -2290.1 meV per atom.

```
data_MgTl2SbF6
_space_group_name_H-M_alt 'P -1'
_space_group_IT_number 2
_cell_length_a 5.473
_cell_length_b 5.743
_cell_length_c 6.287
_cell_angle_alpha 71.28
_cell_angle_beta 72.24
_cell_angle_gamma 89.86
loop_
_space_group_symop_operation_xyz
'x,y,z'
'-x,-y,-z'
loop_
_atom_site_label
_atom_site_fract_x
_atom_site_fract_y
_atom_site_fract_z
Mg1 0.000 0.000 0.000
Tl1 0.280 0.729 0.508
Sb1 0.500 0.500 0.000
F1 0.139 0.669 0.088
F2 0.239 0.088 0.670
F3 0.265 0.147 0.111
```



2.
This record from Alexandria describes a geometry-optimized Ac4Nd3Dy4 structure. The functional is PBE.

Properties
The value obtained for the calculated formation energy is 0.43 eV/f.u.

```
data_Ac4Nd3Dy4
_space_group_name_H-M_alt 'P 1'
_space_group_IT_number 1
_cell_length_a 3.705
_cell_length_b 5.822
_cell_length_c 19.209
_cell_angle_alpha 98.70
_cell_angle_beta 90.03
_cell_angle_gamma 90.00
loop_
_space_group_symop_operation_xyz
'x,y,z'
loop_
_atom_site_label
_atom_site_fract_x
_atom_site_fract_y
_atom_site_fract_z
Ac1 0.000 0.000 0.000
Ac2 0.000 0.372 0.741
Ac3 0.498 0.183 0.365
Ac4 0.499 0.815 0.628
Nd1 0.501 0.459 0.917
Nd2 0.997 0.094 0.187
Nd3 0.998 0.728 0.453
Dy1 0.497 0.555 0.109
Dy2 0.500 0.913 0.825
Dy3 0.997 0.636 0.271
Dy4 0.998 0.273 0.544
```



3.
This record from Alexandria describes a geometry-optimized SmLuPd2 structure. The functional is PBE.

Properties
The value obtained for the calculated formation energy is -3.46 eV/f.u. The calculation puts the energy above the most stable polymorph in this dataset at 0.0000 eV per atom.

```
data_SmLuPd2
_space_group_name_H-M_alt 'P 4/m m m'
_space_group_IT_number 123
_space_group_name_Hall '-P 4 2'
_cell_length_a 3.445
_cell_length_b 3.445
_cell_length_c 7.267
_cell_angle_alpha 90.00
_cell_angle_beta 90.00
_cell_angle_gamma 90.00
loop_
_atom_site_label
_atom_site_fract_x
_atom_site_fract_y
_atom_site_fract_z
Sm1 0.000 0.000 0.000
Lu1 0.000 0.000 0.500
Pd1 0.500 0.500 0.272
```



4.
This record from Alexandria describes a geometry-optimized CsRbFe2Cu structure. The functional is PBE.

Properties
The value obtained for the calculated formation energy is 10.86 eV/f.u.

```
data_CsRbFe2Cu
_space_group_name_H-M_alt 'P 4/m m m'
_space_group_IT_number 123
_space_group_name_Hall '-P 4 2'
_cell_length_a 4.884
_cell_length_b 4.884
_cell_length_c 5.975
_cell_angle_alpha 90.00
_cell_angle_beta 90.00
_cell_angle_gamma 90.00
loop_
_atom_site_label
_atom_site_fract_x
_atom_site_fract_y
_atom_site_fract_z
Cs1 0.000 0.000 0.000
Rb1 0.500 0.500 0.500
Fe1 0.000 0.500 0.500
Cu1 0.500 0.500 0.000
```



5.
This record from Alexandria describes a geometry-optimized Ba2SrCd2 structure. The functional is PBE.

Properties
The value obtained for the calculated formation energy is -1.22 eV/f.u. The calculation puts the energy above the most stable polymorph in this dataset at 0.0000 eV per atom.

```
data_Ba2SrCd2
_space_group_name_H-M_alt 'C m m m'
_space_group_IT_number 65
_space_group_name_Hall '-C 2 2'
_cell_length_a 4.210
_cell_length_b 24.326
_cell_length_c 4.109
_cell_angle_alpha 90.00
_cell_angle_beta 90.00
_cell_angle_gamma 90.00
loop_
_atom_site_label
_atom_site_fract_x
_atom_site_fract_y
_atom_site_fract_z
Ba1 0.000 0.168 0.000
Sr1 0.000 0.000 0.000
Cd1 0.000 0.418 0.500
```



6.
This record from Alexandria describes a geometry-optimized Sm3TmSc2S6 structure. The functional is PBE.

Properties
The raw formation energy comes out at -1948.5 meV per atom.

```
data_Sm3TmSc2S6
_space_group_name_H-M_alt 'C 1 2/m 1'
_space_group_IT_number 12
_cell_length_a 6.653
_cell_length_b 11.568
_cell_length_c 6.806
_cell_angle_alpha 90.00
_cell_angle_beta 109.11
_cell_angle_gamma 90.00
loop_
_space_group_symop_operation_xyz
'x,y,z'
'-x,-y,-z'
'-x,y,-z'
'x,-y,z'
'x+1/2,y+1/2,z'
'-x+1/2,-y+1/2,-z'
'-x+1/2,y+1/2,-z'
'x+1/2,-y+1/2,z'
loop_
_atom_site_label
_atom_site_fract_x
_atom_site_fract_y
_atom_site_fract_z
Sm1 0.000 0.000 0.000
Sm2 0.000 0.335 0.000
Tm1 0.000 0.500 0.500
Sc1 0.000 0.167 0.500
S1 0.236 0.000 0.726
S2 0.246 0.330 0.728
```



7.
This record from Alexandria describes a geometry-optimized Y4Al7Ga6 structure. The functional is PBE.

Properties
The value obtained for the calculated formation energy is -7.74 eV/f.u.

```
data_Y4Al7Ga6
_space_group_name_H-M_alt 'I m -3 m'
_space_group_IT_number 229
_space_group_name_Hall '-I 4 2 3'
_cell_length_a 8.714
_cell_length_b 8.714
_cell_length_c 8.714
_cell_angle_alpha 90.00
_cell_angle_beta 90.00
_cell_angle_gamma 90.00
loop_
_atom_site_label
_atom_site_fract_x
_atom_site_fract_y
_atom_site_fract_z
Y1 0.250 0.250 0.250
Al1 0.000 0.000 0.000
Al2 0.000 0.250 0.500
Ga1 0.000 0.000 0.309
```



8.
This record from Alexandria describes a geometry-optimized La2MgAg structure. The functional is PBE.

Properties
The value obtained for the calculated formation energy is 0.03 eV/f.u.

```
data_La2MgAg
_space_group_name_H-M_alt 'R 3 m'
_space_group_IT_number 160
_space_group_name_Hall 'R 3 -2"'
_cell_length_a 3.7261
_cell_length_b 3.7261
_cell_length_c 29.8693
_cell_angle_alpha 90.00
_cell_angle_beta 90.00
_cell_angle_gamma 120.00
loop_
_atom_site_label
_atom_site_fract_x
_atom_site_fract_y
_atom_site_fract_z
La1 0.0000 0.0000 0.0000
La2 0.0000 0.0000 0.2337
Mg1 0.0000 0.0000 0.7606
Ag1 0.0000 0.0000 0.4865
```